# 1
# Tb2Y3Cd (GGA-PBE, optimized geometry)
# ΔE_f	-29	meV per atom
# density of states at the Fermi level	9.28	states/eV/f.u.
# excess energy over the best structure of this formula in the dataset	0.0696	eV per atom
# total magnetization	0.000	μB per formula unit
data_Tb2Y3Cd
_chemical_formula_sum 'Tb8 Y12 Cd4'
_cell_length_a 10.571
_cell_length_b 6.091
_cell_length_c 11.199
_cell_angle_alpha 90.00
_cell_angle_beta 90.00
_cell_angle_gamma 90.00
_symmetry_space_group_name_H-M 'C m c m'
_symmetry_Int_Tables_number 63
_symmetry_space_group_name_Hall '-C 2c 2'
loop_
_atom_site_label
_atom_site_fract_x
_atom_site_fract_y
_atom_site_fract_z
Tb1 0.167 0.168 0.250
Y1 0.000 0.000 0.000
Y2 0.160 0.500 0.000
Cd1 0.000 0.326 0.750

# 2
# Ac2DySi4Pt3 (GGA-PBE, optimized geometry)
# raw formation energy	-965	meV per atom
# density of states at the Fermi level	4.62	states/eV/f.u.
# total magnetization	0.000	μB per formula unit
data_Ac2DySi4Pt3
_chemical_formula_sum 'Ac2 Dy1 Si4 Pt3'
_cell_length_a 4.379
_cell_length_b 4.379
_cell_length_c 10.968
_cell_angle_alpha 90.00
_cell_angle_beta 90.00
_cell_angle_gamma 90.00
_symmetry_space_group_name_H-M 'P -4 m 2'
_symmetry_Int_Tables_number 115
loop_
_symmetry_equiv_pos_as_xyz
'x,y,z'
'y,-x,-z'
'-x,-y,z'
'-y,x,-z'
'-x,y,z'
'-y,-x,-z'
'x,-y,z'
'y,x,-z'
loop_
_atom_site_label
_atom_site_fract_x
_atom_site_fract_y
_atom_site_fract_z
Ac1 0.000 0.500 0.233
Dy1 0.000 0.000 0.500
Si1 0.000 0.000 0.000
Si2 0.000 0.500 0.662
Si3 0.500 0.500 0.000
Pt1 0.000 0.500 0.893
Pt2 0.500 0.500 0.500

# 3
# Sr3Ni (GGA-PBE, optimized geometry)
# ΔE_f	83	meV per atom
# density of states at the Fermi level	3.25	states/eV/f.u.
# total magnetization	0.000	μB per formula unit
data_Sr3Ni
_chemical_formula_sum 'Sr6 Ni2'
_cell_length_a 4.058
_cell_length_b 7.599
_cell_length_c 10.488
_cell_angle_alpha 90.00
_cell_angle_beta 90.00
_cell_angle_gamma 90.00
_symmetry_space_group_name_H-M 'P m m n'
_symmetry_Int_Tables_number 59
loop_
_symmetry_equiv_pos_as_xyz
'x,y,z'
'-x,-y,-z'
'-x+1/2,-y+1/2,z'
'x+1/2,y+1/2,-z'
'x+1/2,-y,-z'
'-x+1/2,y,z'
'-x,y+1/2,-z'
'x,-y+1/2,z'
loop_
_atom_site_label
_atom_site_fract_x
_atom_site_fract_y
_atom_site_fract_z
Sr1 0.250 0.011 0.178
Sr2 0.250 0.250 0.521
Ni1 0.250 0.750 0.689

# 4
# CuRuBr (GGA-PBE, optimized geometry)
# raw formation energy	730	meV per atom
# density of states at the Fermi level	3.43	states/eV/f.u.
# excess energy over the best structure of this formula in the dataset	0.0835	eV per atom
# total magnetization	0.000	μB per formula unit
data_CuRuBr
_chemical_formula_sum 'Cu2 Ru2 Br2'
_cell_length_a 3.023
_cell_length_b 3.023
_cell_length_c 11.542
_cell_angle_alpha 90.00
_cell_angle_beta 90.00
_cell_angle_gamma 90.00
_symmetry_space_group_name_H-M 'I 4 m m'
_symmetry_Int_Tables_number 107
_symmetry_space_group_name_Hall 'I 4 -2'
loop_
_atom_site_label
_atom_site_fract_x
_atom_site_fract_y
_atom_site_fract_z
Cu1 0.000 0.000 0.000
Ru1 0.000 0.000 0.631
Br1 0.000 0.000 0.270